Density functional theory data (PBE-GGA) for a relaxed structure of Cs2MgNb.

For the spin magnetization, the calculation gives 5.020 μB/f.u. For the energy relative to the elements, the calculation gives 30.6 kcal/mol of atoms.

It has space group Fm-3m (No. 225), with a = 8.693 Å, b = 8.693 Å, c = 8.693 Å, α = 90.00°, β = 90.00° and γ = 90.00°. The inequivalent atoms are Cs at (0.250, 0.250, 0.250), Mg at (0.000, 0.000, 0.000) and Nb at (0.000, 0.000, 0.500).

=====

Density functional theory data (PBE-GGA) for a relaxed structure of CsMg6Nb.

For the spin magnetization, the calculation gives 1.364 μB/f.u. The energy above the most stable polymorph in this dataset is 0.0000 eV per atom. For the energy relative to the elements, the calculation gives 8.9 kcal/mol of atoms.

It has space group P4/mmm (No. 123), with a = 7.311 Å, b = 7.311 Å, c = 4.025 Å, α = 90.00°, β = 90.00° and γ = 90.00°. The inequivalent atoms are Cs at (0.000, 0.000, 0.000), Mg at (0.000, 0.500, 0.000), Mg at (0.294, 0.294, 0.500) and Nb at (0.500, 0.500, 0.000).

=====

Density functional theory data (PBE-GGA) for a relaxed structure of Cs3MgNb.

For the spin magnetization, the calculation gives 4.486 μB/f.u. For the energy relative to the elements, the calculation gives 30.5 kcal/mol of atoms.

It has space group Pm-3m (No. 221), with a = 7.315 Å, b = 7.315 Å, c = 7.315 Å, α = 90.00°, β = 90.00° and γ = 90.00°. The inequivalent atoms are Cs at (0.000, 0.000, 0.500), Mg at (0.000, 0.000, 0.000) and Nb at (0.500, 0.500, 0.500).

=====

Density functional theory data (PBE-GGA) for a relaxed structure of CsMg2Nb.

For the spin magnetization, the calculation gives 3.680 μB/f.u. For the energy relative to the elements, the calculation gives 25.1 kcal/mol of atoms.

It has space group Fm-3m (No. 225), with a = 7.923 Å, b = 7.923 Å, c = 7.923 Å, α = 90.00°, β = 90.00° and γ = 90.00°. The inequivalent atoms are Cs at (0.000, 0.000, 0.000), Mg at (0.250, 0.250, 0.250) and Nb at (0.000, 0.000, 0.500).

=====

Density functional theory data (PBE-GGA) for a relaxed structure of Cs2MgNbO.

For the spin magnetization, the calculation gives 5.819 μB/f.u. For the total energy, the calculation gives -12.607 eV/cell.

It has space group P4/mmm (No. 123), with a = 6.748 Å, b = 6.748 Å, c = 5.615 Å, α = 90.00°, β = 90.00° and γ = 90.00°. The inequivalent atoms are Cs at (0.000, 0.500, 0.000), Mg at (0.000, 0.000, 0.500), Nb at (0.000, 0.000, 0.000) and O at (0.500, 0.500, 0.500).

=====

Density functional theory data (PBE-GGA) for a relaxed structure of Cs2MgNbO4.

For the spin magnetization, the calculation gives 0.999 μB/f.u. For the total energy, the calculation gives -99.961 eV/cell.

It has space group I-4 (No. 82), with a = 6.373 Å, b = 6.373 Å, c = 8.048 Å, α = 90.00°, β = 90.00° and γ = 90.00°. The inequivalent atoms are Cs at (0.000, 0.000, 0.000), Cs at (0.000, 0.500, 0.250), Mg at (0.000, 0.000, 0.500), Nb at (0.000, 0.500, 0.750) and O at (0.086, 0.762, 0.647).